1.
Material: MgFeRh3
Method: DFT, PBEsol
State: relaxed

a b c (Å): 4.376 4.376 4.376
angles (deg): 90.00 90.00 90.00
Atoms (fractional coordinates):
Mg 0.000 0.000 0.000
Fe 0.500 0.500 0.500
Rh 0.000 0.000 0.500
Rh 0.000 0.500 0.000
Rh 0.500 0.000 0.000

Computed properties:
Calculated total energy (eV for the cell shown): -28.0
D(E_F) (states/eV/atom): 0.9176
DFT formation energy (eV/atom): 1.426
Total magnetic moment (μB per formula unit): 5.3

2.
Material: TlCuOs2
Method: DFT, PBEsol
State: relaxed

a b c (Å): 4.640 4.640 4.640
angles (deg): 127.79 127.79 76.97
Atoms (fractional coordinates):
Tl 0.000 0.000 0.000
Cu 0.750 0.250 0.500
Os 0.250 0.750 0.500
Os 0.500 0.500 0.000

Computed properties:
Calculated total energy (eV for the cell shown): -28.0
D(E_F) (states/eV/atom): 0.8872
DFT formation energy (eV/atom): 0.843
Total magnetic moment (μB per formula unit): 0.0

3.
Material: SrTcRu2
Method: DFT, PBEsol
State: relaxed

a b c (Å): 5.751 5.751 5.751
angles (deg): 151.66 130.38 58.13
Atoms (fractional coordinates):
Sr 0.000 0.000 0.000
Tc 0.285 0.785 0.500
Ru 0.499 0.499 0.000
Ru 0.717 0.217 0.500

Computed properties:
Calculated total energy (eV for the cell shown): -30.4
D(E_F) (states/eV/atom): 1.2423
DFT formation energy (eV/atom): 0.764
Total magnetic moment (μB per formula unit): 0.0

4.
Material: ReTc2Sb
Method: DFT, PBEsol
State: relaxed

a b c (Å): 3.029 3.029 6.756
angles (deg): 90.00 90.00 90.00
Atoms (fractional coordinates):
Re 0.000 0.000 0.000
Tc 0.000 0.000 0.522
Tc 0.500 0.500 0.763
Sb 0.500 0.500 0.269

Computed properties:
Calculated total energy (eV for the cell shown): -39.3
D(E_F) (states/eV/atom): 0.6066
Total magnetic moment (μB per formula unit): 0.0
Formation energy from raw total energies (eV/atom): 0.2901

5.
Material: YNiPb
Method: DFT, PBEsol
State: relaxed

a b c (Å): 4.491 4.491 3.599
angles (deg): 90.00 90.00 120.00
Atoms (fractional coordinates):
Y 0.000 0.000 0.000
Ni 0.667 0.333 0.500
Pb 0.333 0.667 0.500

Computed properties:
Calculated total energy (eV for the cell shown): -18.2
D(E_F) (states/eV/atom): 0.5136
DFT formation energy (eV/atom): -0.408
Total magnetic moment (μB per formula unit): 0.0

6.
Material: MnTeSe
Method: DFT, PBEsol
State: relaxed

a b c (Å): 3.592 3.592 5.786
angles (deg): 90.00 90.00 120.00
Atoms (fractional coordinates):
Mn 0.000 0.000 0.000
Te 0.667 0.333 0.283
Se 0.333 0.667 0.775

Computed properties:
Calculated total energy (eV for the cell shown): -18.0
D(E_F) (states/eV/atom): 0.5893
Total magnetic moment (μB per formula unit): 2.8
Formation energy from raw total energies (eV/atom): -0.2847

7.
Material: YSc2
Method: DFT, PBEsol
State: relaxed

a b c (Å): 5.227 5.227 3.252
angles (deg): 90.00 90.00 120.00
Atoms (fractional coordinates):
Y 0.000 0.000 0.000
Sc 0.333 0.667 0.500
Sc 0.667 0.333 0.500

Computed properties:
Calculated total energy (eV for the cell shown): -19.8
D(E_F) (states/eV/atom): 1.9869
DFT formation energy (eV/atom): 0.065
Total magnetic moment (μB per formula unit): 0.0

8.
Material: K2CaH2S2O9
Method: DFT, PBEsol
State: relaxed

a b c (Å): 6.227 7.068 9.731
angles (deg): 90.00 103.94 90.00
Atoms (fractional coordinates):
K 0.193 0.008 0.335
K 0.193 0.492 0.335
K 0.807 0.508 0.665
K 0.807 0.992 0.665
Ca 0.335 0.250 0.970
Ca 0.665 0.750 0.030
H 0.404 0.636 0.752
H 0.404 0.864 0.752
H 0.596 0.136 0.248
H 0.596 0.364 0.248
S 0.160 0.750 0.011
S 0.272 0.250 0.640
S 0.728 0.750 0.360
S 0.840 0.250 0.989
O 0.018 0.250 0.119
O 0.055 0.750 0.134
O 0.057 0.250 0.533
O 0.285 0.081 0.734
O 0.285 0.419 0.734
O 0.307 0.582 0.020
O 0.307 0.918 0.020
O 0.456 0.250 0.568
O 0.500 0.250 0.223
O 0.500 0.750 0.777
O 0.544 0.750 0.432
O 0.693 0.082 0.980
O 0.693 0.418 0.980
O 0.715 0.581 0.266
O 0.715 0.919 0.266
O 0.943 0.750 0.467
O 0.945 0.250 0.866
O 0.982 0.750 0.881

Computed properties:
Calculated total energy (eV for the cell shown): -194.5
D(E_F) (states/eV/atom): 0.0000
Total magnetic moment (μB per formula unit): 0.0

9.
Material: TlIn2Os
Method: DFT, PBEsol
State: relaxed

a b c (Å): 3.374 4.102 5.772
angles (deg): 90.00 90.00 90.00
Atoms (fractional coordinates):
Tl 0.000 0.000 0.000
In 0.000 0.000 0.530
In 0.500 0.500 0.248
Os 0.500 0.500 0.730

Computed properties:
Calculated total energy (eV for the cell shown): -18.5
D(E_F) (states/eV/atom): 0.4637
DFT formation energy (eV/atom): 0.581
Total magnetic moment (μB per formula unit): 0.0

10.
Material: Ca2ScMn
Method: DFT, PBEsol
State: relaxed

a b c (Å): 5.262 5.262 5.262
angles (deg): 120.09 120.09 89.84
Atoms (fractional coordinates):
Ca 0.000 0.000 0.000
Ca 0.750 0.250 0.500
Sc 0.250 0.750 0.500
Mn 0.500 0.500 0.000

Computed properties:
Calculated total energy (eV for the cell shown): -18.7
D(E_F) (states/eV/atom): 1.1827
DFT formation energy (eV/atom): 0.494
Total magnetic moment (μB per formula unit): 3.9

11.
Material: HfInPt2
Method: DFT, PBEsol
State: relaxed

a b c (Å): 3.344 3.344 6.395
angles (deg): 90.00 90.00 90.00
Atoms (fractional coordinates):
Hf 0.000 0.000 0.000
In 0.000 0.000 0.500
Pt 0.500 0.500 0.227
Pt 0.500 0.500 0.773

Computed properties:
Calculated total energy (eV for the cell shown): -30.7
D(E_F) (states/eV/atom): 0.4226
DFT formation energy (eV/atom): -0.810
Total magnetic moment (μB per formula unit): 0.0

12.
Material: BaHgPb2
Method: DFT, PBEsol
State: relaxed

a b c (Å): 5.180 5.180 6.346
angles (deg): 114.17 114.17 60.21
Atoms (fractional coordinates):
Ba 0.000 0.000 0.000
Hg 0.235 0.235 0.704
Pb 0.512 0.512 0.534
Pb 0.772 0.772 0.315

Computed properties:
Calculated total energy (eV for the cell shown): -12.2
D(E_F) (states/eV/atom): 0.3369
DFT formation energy (eV/atom): -0.383
Total magnetic moment (μB per formula unit): 0.0

13.
Material: LaCuSe2N
Method: DFT, PBEsol
State: relaxed

a b c (Å): 4.934 4.934 3.804
angles (deg): 90.00 90.00 90.00
Atoms (fractional coordinates):
La 0.000 0.000 0.000
Cu 0.500 0.500 0.500
Se 0.000 0.500 0.500
Se 0.500 0.000 0.500
N 0.500 0.500 0.000

Computed properties:
Calculated total energy (eV for the cell shown): -27.8
D(E_F) (states/eV/atom): 0.4282
Total magnetic moment (μB per formula unit): 1.4
Formation energy from raw total energies (eV/atom): -0.3794

14.
Material: TePdRhN2
Method: DFT, PBEsol
State: relaxed

a b c (Å): 3.728 3.728 6.083
angles (deg): 90.00 90.00 90.00
Atoms (fractional coordinates):
Te 0.000 0.000 0.000
Pd 0.000 0.000 0.500
Rh 0.500 0.500 0.000
N 0.000 0.500 0.500
N 0.500 0.000 0.500

Computed properties:
Calculated total energy (eV for the cell shown): -27.5
D(E_F) (states/eV/atom): 0.9336
Total magnetic moment (μB per formula unit): 0.0
Formation energy from raw total energies (eV/atom): 1.4342

15.
Material: Ba3BeSb
Method: DFT, PBEsol
State: relaxed

a b c (Å): 6.538 6.538 6.538
angles (deg): 90.00 90.00 90.00
Atoms (fractional coordinates):
Ba 0.000 0.000 0.500
Ba 0.000 0.500 0.000
Ba 0.500 0.000 0.000
Be 0.500 0.500 0.500
Sb 0.000 0.000 0.000

Computed properties:
Calculated total energy (eV for the cell shown): -13.8
D(E_F) (states/eV/atom): 1.3844
Total magnetic moment (μB per formula unit): 1.3
Formation energy from raw total energies (eV/atom): 0.2473

16.
Material: As3Br
Method: DFT, PBEsol
State: relaxed

a b c (Å): 13.532 13.532 13.532
angles (deg): 163.80 163.80 22.99
Atoms (fractional coordinates):
As 0.000 0.500 0.500
As 0.073 0.073 0.000
As 0.250 0.750 0.500
As 0.500 0.000 0.500
As 0.750 0.250 0.500
As 0.927 0.927 0.000
Br 0.381 0.381 0.000
Br 0.619 0.619 0.000

Computed properties:
Calculated total energy (eV for the cell shown): -32.0
D(E_F) (states/eV/atom): 0.6305
Total magnetic moment (μB per formula unit): 0.0
Formation energy from raw total energies (eV/atom): 0.2950

17.
Material: Ba2AgSb
Method: DFT, PBEsol
State: relaxed

a b c (Å): 5.643 5.643 5.643
angles (deg): 60.00 60.00 60.00
Atoms (fractional coordinates):
Ba 0.000 0.000 0.000
Ba 0.250 0.250 0.250
Ag 0.750 0.750 0.750
Sb 0.500 0.500 0.500

Computed properties:
Calculated total energy (eV for the cell shown): -13.2
D(E_F) (states/eV/atom): 0.5296
Total magnetic moment (μB per formula unit): 0.0
Formation energy from raw total energies (eV/atom): -0.2616

18.
Material: CaAu
Method: DFT, PBEsol
State: relaxed

a b c (Å): 10.173 8.939 6.281
angles (deg): 90.00 90.00 90.00
Atoms (fractional coordinates):
Ca 0.114 0.250 0.000
Ca 0.114 0.250 0.500
Ca 0.195 0.630 0.250
Ca 0.195 0.870 0.750
Ca 0.383 0.029 0.250
Ca 0.383 0.471 0.750
Ca 0.617 0.529 0.250
Ca 0.617 0.971 0.750
Ca 0.805 0.130 0.250
Ca 0.805 0.370 0.750
Ca 0.886 0.750 0.000
Ca 0.886 0.750 0.500
Au 0.078 0.547 0.750
Au 0.078 0.953 0.250
Au 0.350 0.142 0.750
Au 0.350 0.358 0.250
Au 0.432 0.750 0.000
Au 0.432 0.750 0.500
Au 0.568 0.250 0.000
Au 0.568 0.250 0.500
Au 0.650 0.642 0.750
Au 0.650 0.858 0.250
Au 0.922 0.047 0.750
Au 0.922 0.453 0.250

Computed properties:
Calculated total energy (eV for the cell shown): -89.0
D(E_F) (states/eV/atom): 0.4647
DFT formation energy (eV/atom): -0.680
Total magnetic moment (μB per formula unit): 0.0

19.
Material: GaBiF3
Method: DFT, PBEsol
State: relaxed

a b c (Å): 4.640 4.640 4.640
angles (deg): 90.00 90.00 90.00
Atoms (fractional coordinates):
Ga 0.000 0.000 0.000
Bi 0.500 0.500 0.500
F 0.000 0.500 0.500
F 0.500 0.000 0.500
F 0.500 0.500 0.000

Computed properties:
Calculated total energy (eV for the cell shown): -21.1
D(E_F) (states/eV/atom): 0.6896
Total magnetic moment (μB per formula unit): 0.0
Formation energy from raw total energies (eV/atom): -1.5302

20.
Material: ScIn2Ru
Method: DFT, PBEsol
State: relaxed

a b c (Å): 4.697 4.697 4.697
angles (deg): 60.00 60.00 60.00
Atoms (fractional coordinates):
Sc 0.000 0.000 0.000
In 0.500 0.500 0.500
In 0.750 0.750 0.750
Ru 0.250 0.250 0.250

Computed properties:
Calculated total energy (eV for the cell shown): -23.2
D(E_F) (states/eV/atom): 0.6702
DFT formation energy (eV/atom): -0.110
Total magnetic moment (μB per formula unit): 0.0

21.
Material: YMg2Ni2
Method: DFT, PBEsol
State: relaxed

a b c (Å): 6.351 6.351 6.351
angles (deg): 143.85 143.85 52.04
Atoms (fractional coordinates):
Y 0.000 0.000 0.000
Mg 0.250 0.750 0.500
Mg 0.750 0.250 0.500
Ni 0.402 0.402 0.000
Ni 0.598 0.598 0.000

Computed properties:
Calculated total energy (eV for the cell shown): -23.5
D(E_F) (states/eV/atom): 0.6168
DFT formation energy (eV/atom): -0.187
Total magnetic moment (μB per formula unit): 0.0

22.
Material: MgZn2Cd
Method: DFT, PBEsol
State: relaxed

a b c (Å): 4.093 4.093 5.074
angles (deg): 114.09 114.09 89.16
Atoms (fractional coordinates):
Mg 0.000 0.000 0.000
Zn 0.250 0.750 0.500
Zn 0.500 0.500 0.000
Cd 0.750 0.250 0.500

Computed properties:
Calculated total energy (eV for the cell shown): -6.1
D(E_F) (states/eV/atom): 0.2790
DFT formation energy (eV/atom): -0.007
Total magnetic moment (μB per formula unit): 0.0

23.
Material: FeCu2Te
Method: DFT, PBEsol
State: relaxed

a b c (Å): 4.732 4.732 4.732
angles (deg): 132.87 132.87 68.85
Atoms (fractional coordinates):
Fe 0.000 0.000 0.000
Cu 0.500 0.500 0.000
Cu 0.750 0.250 0.500
Te 0.250 0.750 0.500

Computed properties:
Calculated total energy (eV for the cell shown): -20.1
D(E_F) (states/eV/atom): 0.3157
Total magnetic moment (μB per formula unit): 2.1
Formation energy from raw total energies (eV/atom): 0.2630

24.
Material: KNiMo2
Method: DFT, PBEsol
State: relaxed

a b c (Å): 5.576 5.576 5.576
angles (deg): 141.19 141.19 56.04
Atoms (fractional coordinates):
K 0.000 0.000 0.000
Ni 0.500 0.500 0.000
Mo 0.250 0.750 0.500
Mo 0.750 0.250 0.500

Computed properties:
Calculated total energy (eV for the cell shown): -24.8
D(E_F) (states/eV/atom): 0.9827
DFT formation energy (eV/atom): 1.504
Total magnetic moment (μB per formula unit): 0.0

25.
Material: ReAgW
Method: DFT, PBEsol
State: relaxed

a b c (Å): 6.385 6.385 6.385
angles (deg): 154.87 154.87 35.83
Atoms (fractional coordinates):
Re 0.000 0.000 0.000
Ag 0.328 0.328 0.000
W 0.652 0.652 0.000

Computed properties:
Calculated total energy (eV for the cell shown): -28.5
D(E_F) (states/eV/atom): 1.2834
DFT formation energy (eV/atom): 0.635
Total magnetic moment (μB per formula unit): 0.0

26.
Material: YTl2In
Method: DFT, PBEsol
State: relaxed

a b c (Å): 3.799 3.973 6.834
angles (deg): 90.00 90.00 90.00
Atoms (fractional coordinates):
Y 0.000 0.000 0.000
Tl 0.500 0.500 0.258
Tl 0.500 0.500 0.742
In 0.000 0.000 0.500

Computed properties:
Calculated total energy (eV for the cell shown): -15.9
D(E_F) (states/eV/atom): 0.7969
DFT formation energy (eV/atom): -0.207
Total magnetic moment (μB per formula unit): 0.0

27.
Material: CsCu2Br2
Method: DFT, PBEsol
State: relaxed

a b c (Å): 5.999 5.999 5.999
angles (deg): 131.38 131.38 71.21
Atoms (fractional coordinates):
Cs 0.000 0.000 0.000
Cu 0.373 0.373 0.000
Cu 0.627 0.627 0.000
Br 0.250 0.750 0.500
Br 0.750 0.250 0.500

Computed properties:
Calculated total energy (eV for the cell shown): -14.7
D(E_F) (states/eV/atom): 0.4130
Total magnetic moment (μB per formula unit): 0.0
Formation energy from raw total energies (eV/atom): -0.2650